Density functional theory data (PBE) for La6BiSb3As2 after structural relaxation.

The structure in POSCAR format:
```
La6BiSb3As2
1.0
-2.7845 2.5387 2.5503
-6.9416 -2.0064 -5.5818
1.0224 -8.4975 5.5165
La Bi Sb As
6 1 3 2
Direct
0.3301 0.9044 0.6602
0.6706 0.5751 0.3411
0.6699 0.0956 0.3398
0.0055 0.2570 0.0111
0.9945 0.7430 0.9889
0.3294 0.4249 0.6589
0.5000 0.0000 0.0000
0.5000 0.5000 0.0000
0.8358 0.1685 0.6717
0.1642 0.8315 0.3283
0.8317 0.6646 0.6634
0.1683 0.3354 0.3366
```

Calculated values
SG ... C2/m, No. 12
E ... -5.911 eV/atom
Formation energy (no corrections) ... -1.318 eV per atom
Calculated volume ... 401.3 Å³ per cell
Total moment ... 0.000 μB/f.u.